Below is YCoW2O8 after structural relaxation, with properties calculated at the PBE+U level.

Structure (CIF):
```
data_YCoW2O8
_chemical_formula_sum 'Y1 Co1 W2 O8'
_cell_length_a 5.261
_cell_length_b 5.965
_cell_length_c 5.981
_cell_angle_alpha 108.52
_cell_angle_beta 114.79
_cell_angle_gamma 92.21
_symmetry_space_group_name_H-M 'P 1'
_symmetry_Int_Tables_number 1
loop_
_symmetry_equiv_pos_as_xyz
'x,y,z'
loop_
_atom_site_label
_atom_site_type_symbol
_atom_site_fract_x
_atom_site_fract_y
_atom_site_fract_z
Y1 Y 0.000 0.000 0.000
Co1 Co 0.545 0.668 0.066
W1 W 0.232 0.642 0.482
W2 W 0.724 0.324 0.502
O1 O 0.436 0.505 0.264
O2 O 0.477 0.027 0.246
O3 O 0.500 0.437 0.689
O4 O 0.508 0.896 0.763
O5 O 0.935 0.317 0.291
O6 O 0.959 0.202 0.732
O7 O 0.965 0.769 0.229
O8 O 0.992 0.656 0.692
```

Values from the calculation:
Density   6.75 Mg/m³
Uncorrected energy   -7.63 eV per atom